No. 1
Entry from Alexandria via LeMat-Bulk: an optimized crystal structure of ZrPdS2 (PBE).

Geometry as POSCAR:
```
ZrPdS2
1.0
1.816 1.049 7.582
-1.816 1.049 7.582
0.000 -2.097 7.582
Zr Pd S
1 1 2
Direct
0.000 0.000 0.000
0.500 0.500 0.500
0.399 0.399 0.399
0.601 0.601 0.601
```

Values from the calculation:
- ΔE_f (raw) (meV per atom) = -975
- calculated total energy (hartree per atom) = -0.238
- D(E_F) (states/eV/atom) = 0.0428
- calculated volume (A^3/atom) = 21.66
- spin magnetization (μB per atom) = 0.0000
- energy above the lowest structure with this stoichiometry (eV/atom) = 0.0633
- space group = R-3m (166)

---

No. 2
Entry from Alexandria via LeMat-Bulk: an optimized crystal structure of Ca3InBi3 (PBE).

Geometry as POSCAR:
```
Ca3InBi3
1.0
9.677 0.000 0.000
-4.839 8.381 0.000
0.000 0.000 6.555
Ca In Bi
6 2 6
Direct
0.047 0.365 0.250
0.318 0.953 0.250
0.365 0.318 0.750
0.635 0.682 0.250
0.682 0.047 0.750
0.953 0.635 0.750
0.333 0.667 0.750
0.667 0.333 0.250
0.051 0.352 0.750
0.302 0.949 0.750
0.352 0.302 0.250
0.648 0.698 0.750
0.698 0.051 0.250
0.949 0.648 0.250
```

Values from the calculation:
- formation energy (meV per atom) = -554
- calculated total energy (hartree per atom) = -0.127
- D(E_F) (states/eV/atom) = 0.0156
- calculated volume (A^3/atom) = 37.97
- spin magnetization (μB per atom) = 0.0000
- energy above the lowest structure with this stoichiometry (eV/atom) = 0.1117
- space group = P6_3/m (176)

---

No. 3
Entry from Alexandria via LeMat-Bulk: an optimized crystal structure of CoCu2Ru (PBE).

Geometry as POSCAR:
```
CoCu2Ru
1.0
1.330 -2.165 0.000
1.330 2.165 0.000
0.000 0.000 8.777
Co Cu Ru
1 2 1
Direct
0.000 0.000 0.000
0.500 0.500 0.240
0.500 0.500 0.760
0.000 0.000 0.500
```

Values from the calculation:
- formation energy (meV per atom) = 309
- calculated total energy (hartree per atom) = -0.214
- D(E_F) (states/eV/atom) = 1.0097
- calculated volume (A^3/atom) = 12.63
- spin magnetization (μB per atom) = 0.4823
- energy above the lowest structure with this stoichiometry (eV/atom) = 0.1533
- space group = Cmmm (65)

---

No. 4
Entry from Alexandria via LeMat-Bulk: an optimized crystal structure of NpFeSn (PBE).

Geometry as POSCAR:
```
NpFeSn
1.0
-1.588 1.588 5.759
1.588 -1.588 5.759
1.588 1.588 -5.759
Np Fe Sn
1 1 1
Direct
0.000 0.000 0.000
0.360 0.360 0.000
0.715 0.715 0.000
```

Values from the calculation:
- formation energy (meV per atom) = 91
- calculated total energy (hartree per atom) = -0.308
- D(E_F) (states/eV/atom) = 1.9898
- calculated volume (A^3/atom) = 19.36
- spin magnetization (μB per atom) = 0.6503
- space group = I4mm (107)